The following is a PBE-GGA calculation of crystalline Y2GePd at its relaxed geometry, from OQMD.

a b c (Å): 4.951 4.951 4.951
angles (deg): 60.00 60.00 60.00
Element x y z (fractional)
Ge: 0.500 0.500 0.500
Pd: 0.250 0.250 0.250
Y: 0.000 0.000 0.000
Y: 0.750 0.750 0.750

Values from the calculation:
E_tot = -23.77 eV per cell

***

The following is a PBE-GGA calculation of crystalline YGe3Pd4 at its relaxed geometry, from OQMD.

a b c (Å): 5.955 3.936 6.203
angles (deg): 90.00 90.44 90.00
Element x y z (fractional)
Ge: 0.813 0.000 0.090
Ge: 0.318 0.000 0.398
Ge: 0.176 0.500 0.902
Pd: 0.510 0.500 0.178
Pd: 0.026 0.500 0.295
Pd: 0.019 0.000 0.684
Pd: 0.464 0.000 0.845
Y: 0.674 0.500 0.607

Values from the calculation:
E_tot = -45.28 eV per cell

***

The following is a PBE-GGA calculation of crystalline Y2Ge2Pd at its relaxed geometry, from OQMD.

a b c (Å): 8.547 8.547 8.547
angles (deg): 154.88 154.88 35.82
Element x y z (fractional)
Ge: 0.750 0.250 0.500
Ge: 0.250 0.750 0.500
Pd: 0.000 0.000 0.000
Y: 0.397 0.397 0.000
Y: 0.603 0.603 0.000

Values from the calculation:
E_tot = -29.85 eV per cell

***

The following is a PBE-GGA calculation of crystalline Zn2Ge2Pd3 at its relaxed geometry, from OQMD.

a b c (Å): 7.416 7.416 7.416
angles (deg): 34.15 34.15 34.15
Element x y z (fractional)
Ge: 0.004 0.004 0.004
Ge: 0.497 0.497 0.497
Pd: 0.373 0.373 0.373
Pd: 0.627 0.627 0.627
Pd: 0.878 0.878 0.878
Zn: 0.240 0.240 0.240
Zn: 0.756 0.756 0.756

Values from the calculation:
E_tot = -29.98 eV per cell

***

The following is a PBE-GGA calculation of crystalline ZrGePd2 at its relaxed geometry, from OQMD.

a b c (Å): 4.577 4.577 4.577
angles (deg): 60.00 60.00 60.00
Element x y z (fractional)
Ge: 0.500 0.500 0.500
Pd: 0.000 0.000 0.000
Pd: 0.750 0.750 0.750
Zr: 0.250 0.250 0.250

Values from the calculation:
E_tot = -25.88 eV per cell

***

The following is a PBE-GGA calculation of crystalline ZrGePd at its relaxed geometry, from OQMD.

a b c (Å): 6.730 3.993 7.789
angles (deg): 90.00 90.00 90.00
Element x y z (fractional)
Ge: 0.246 0.000 0.124
Ge: 0.746 0.000 0.376
Ge: 0.254 0.500 0.624
Ge: 0.754 0.500 0.876
Pd: 0.857 0.000 0.061
Pd: 0.357 0.000 0.439
Pd: 0.643 0.500 0.561
Pd: 0.143 0.500 0.939
Zr: 0.529 0.500 0.183
Zr: 0.029 0.500 0.317
Zr: 0.971 0.000 0.683
Zr: 0.471 0.000 0.817

Values from the calculation:
E_tot = -84.26 eV per cell

***

The following is a PBE-GGA calculation of crystalline PmGe at its relaxed geometry, from OQMD.

a b c (Å): 4.442 4.052 5.944
angles (deg): 90.00 111.93 90.00
Element x y z (fractional)
Ge: 0.418 0.750 0.336
Ge: 0.582 0.250 0.664
Pm: 0.862 0.250 0.224
Pm: 0.138 0.750 0.776

Values from the calculation:
E_tot = -22.20 eV per cell

***

The following is a PBE-GGA calculation of crystalline PmGe2 at its relaxed geometry, from OQMD.

a b c (Å): 5.707 5.707 5.707
angles (deg): 60.00 60.00 60.00
Element x y z (fractional)
Ge: 0.625 0.625 0.125
Ge: 0.625 0.125 0.625
Ge: 0.125 0.625 0.625
Ge: 0.625 0.625 0.625
Pm: 0.000 0.000 0.000
Pm: 0.250 0.250 0.250

Values from the calculation:
Distance to the lowest polymorph of the same formula = 0 meV/atom

***

The following is a PBE-GGA calculation of crystalline Pm2Ge at its relaxed geometry, from OQMD.

a b c (Å): 6.207 6.207 6.207
angles (deg): 60.00 60.00 60.00
Element x y z (fractional)
Ge: 0.000 0.000 0.000
Ge: 0.250 0.250 0.250
Pm: 0.625 0.625 0.125
Pm: 0.625 0.125 0.625
Pm: 0.125 0.625 0.625
Pm: 0.625 0.625 0.625

Values from the calculation:
Distance to the lowest polymorph of the same formula = 0 meV/atom

***

The following is a PBE-GGA calculation of crystalline PmGe at its relaxed geometry, from OQMD.

a b c (Å): 4.342 4.342 4.342
angles (deg): 57.33 57.33 57.33
Element x y z (fractional)
Ge: 0.000 0.000 0.000
Pm: 0.500 0.500 0.500

Values from the calculation:
E_tot = -10.69 eV per cell

***

The following is a PBE-GGA calculation of crystalline PmGe2 at its relaxed geometry, from OQMD.

a b c (Å): 9.396 9.396 9.396
angles (deg): 60.00 60.00 60.00
Last column: magnetic moment on the atom in μB.
Element x y z (fractional)
Ge: 0.375 0.375 0.375  0.30
Ge: 0.375 0.875 0.375  0.27
Ge: 0.875 0.375 0.375  0.40
Ge: 0.375 0.375 0.875  0.28
Pm: 0.250 0.250 0.250  0.20
Pm: 0.500 0.500 0.500  0.20

Values from the calculation:
Distance to the lowest polymorph of the same formula = 1758 meV/atom

***

The following is a PBE-GGA calculation of crystalline PmGe at its relaxed geometry, from OQMD.

a b c (Å): 4.695 4.695 4.695
angles (deg): 60.00 60.00 60.00
Element x y z (fractional)
Ge: 0.000 0.000 0.000
Pm: 0.250 0.250 0.250

Values from the calculation:
E_tot = -9.26 eV per cell